(1)
Crystalline BaFeAg2 at its relaxed geometry, computed with GGA-PBEsol.

Cell: 5.0223 5.0223 5.0223 Å, 60.00 60.00 60.00°
With the nearest neighbours (Å) after each atom.
Element x y z (fractional)
Fe (0.2500, 0.2500, 0.2500)  4 Ba 3.08, 4 Ag 3.08
Ba (0.5000, 0.5000, 0.5000)  4 Fe 3.08, 4 Ag 3.08
Ag (0.7500, 0.7500, 0.7500)  4 Ba 3.08, 4 Ag 3.08
Ag (0.0000, 0.0000, 0.0000)  4 Fe 3.08, 4 Ag 3.08

## Properties
* formation enthalpy at 0 K: 0.632 eV/atom
* energy relative to the lowest polymorph listed for this composition: 144 kJ/mol of formula units
* space group: No. 216

(2)
Crystalline Ti2Al2Ir at its relaxed geometry, computed with GGA-PBEsol.

Cell: 3.7514 6.4124 6.4124 Å, 90.00 90.00 90.00°
With the nearest neighbours (Å) after each atom.
Element x y z (fractional)
Ti (0.5000, 0.3346, 0.1654)  6 Al 2.59-2.71
Ti (0.5000, 0.8346, 0.3346)  6 Al 2.59-2.71
Ti (0.5000, 0.1654, 0.6654)  6 Al 2.59-2.71
Ti (0.5000, 0.6654, 0.8346)  6 Al 2.59-2.71
Ir (0.0000, 0.5000, 0.5000)  4 Al 2.48
Ir (0.0000, 0.0000, 0.0000)  4 Al 2.48
Al (0.0000, 0.3618, 0.8618)  2 Ir 2.48, 1 Al 2.51, 6 Ti 2.59-2.71
Al (0.0000, 0.8618, 0.6382)  2 Ir 2.48, 1 Al 2.51, 6 Ti 2.59-2.71
Al (0.0000, 0.6382, 0.1382)  2 Ir 2.48, 1 Al 2.51, 6 Ti 2.59-2.71
Al (0.0000, 0.1382, 0.3618)  2 Ir 2.48, 1 Al 2.51, 6 Ti 2.59-2.71

## Properties
* formation enthalpy at 0 K: -0.470 eV/atom
* space group: No. 127

(3)
Crystalline KReN3 at its relaxed geometry, computed with GGA-PBEsol.

Cell: 3.9359 3.9359 3.9359 Å, 90.00 90.00 90.00°
With the nearest neighbours (Å) after each atom.
Element x y z (fractional)
N (0.0000, 0.0000, 0.5000)  2 Re 1.97
N (0.5000, 0.0000, 0.0000)  2 Re 1.97
N (0.0000, 0.5000, 0.0000)  2 Re 1.97
Re (0.0000, 0.0000, 0.0000)  6 N 1.97
K (0.5000, 0.5000, 0.5000)  12 N 2.78

## Properties
* uncorrected formation energy: 145 meV/atom
* space group: No. 221

(4)
Crystalline Ta2HBr2 at its relaxed geometry, computed with GGA-PBEsol.

Cell: 3.8044 3.8044 7.6383 Å, 104.42 104.42 90.00°
With the nearest neighbours (Å) after each atom.
Element x y z (fractional)
Ta (0.2500, 0.7500, 0.5000)  4 Br 2.69, 4 Ta 2.69
Ta (0.7500, 0.2500, 0.5000)  4 Br 2.69, 4 Ta 2.69
H (0.0000, 0.0000, 0.0000)  8 Br 3.17
Br (0.3829, 0.3829, 0.7658)  4 Ta 2.69
Br (0.6171, 0.6171, 0.2342)  4 Ta 2.69

## Properties
* space group: No. 139
* E: -29.3 eV/cell

(5)
Crystalline GaCuTe2 at its relaxed geometry, computed with GGA-PBEsol.

Cell: 5.9822 5.9822 7.3192 Å, 114.12 114.12 90.00°
With the nearest neighbours (Å) after each atom.
Element x y z (fractional)
Ga (0.0000, 0.0000, 0.0000)  4 Te 2.64
Ga (0.2500, 0.7500, 0.5000)  4 Te 2.64
Te (0.8604, 0.3750, 0.2500)  2 Cu 2.54, 2 Ga 2.64
Te (0.1250, 0.1396, 0.7500)  2 Cu 2.54, 2 Ga 2.64
Te (0.3896, 0.8750, 0.2500)  2 Cu 2.54, 2 Ga 2.64
Te (0.6250, 0.6104, 0.7500)  2 Cu 2.54, 2 Ga 2.64
Cu (0.5000, 0.5000, 0.0000)  4 Te 2.54
Cu (0.7500, 0.2500, 0.5000)  4 Te 2.54

## Properties
* uncorrected formation energy: -238 meV/atom
* space group: No. 122

(6)
Crystalline BaTaPb2 at its relaxed geometry, computed with GGA-PBEsol.

Cell: 3.8354 3.8354 8.1561 Å, 90.00 90.00 90.00°
With the nearest neighbours (Å) after each atom.
Element x y z (fractional)
Ba (0.5000, 0.5000, 0.7350)  5 Pb 3.49-3.73, 4 Ta 3.80, 4 Ba 3.84
Pb (0.5000, 0.5000, 0.3066)  4 Ta 2.84
Pb (0.0000, 0.0000, 0.0498)  1 Ta 2.93
Ta (0.0000, 0.0000, 0.4087)  5 Pb 2.84-2.93

## Properties
* formation enthalpy at 0 K: 0.420 eV/atom
* space group: No. 99

Question: Number 2 is which compound?
Answer: Ti2Al2Ir